DFT (PBE-GGA) results for a geometry-optimized Mn3VGa structure.

The structure in extended XYZ format:
```
5
Lattice="4.520 0.000 0.000 0.000 4.520 0.000 0.000 0.000 4.520" Properties=species:S:1:pos:R:3 pbc="T T T"
Mn 0.000 0.000 2.260
Mn 0.000 2.260 0.000
Mn 2.260 0.000 0.000
V 2.260 2.260 2.260
Ga 0.000 0.000 0.000
```

- energy above the lowest structure with this stoichiometry (meV per atom) = 1172
- energy relative to the elements (meV per atom) = 987
- crystal system = cubic
- E_tot (eV per atom) = -6.944



DFT (PBE-GGA) results for a geometry-optimized Li2SiCl structure.

The structure in extended XYZ format:
```
4
Lattice="3.120 0.000 0.000 0.000 6.507 0.000 0.000 0.000 3.943" Properties=species:S:1:pos:R:3 pbc="T T T"
Li 0.000 0.000 0.000
Li 0.610 3.254 1.964
Si 1.577 0.000 1.972
Cl 2.192 3.254 3.935
```

- energy above the lowest structure with this stoichiometry (meV per atom) = 278
- crystal system = monoclinic
- raw formation energy (meV/atom) = -385
- E_tot (eV per atom) = -3.159